Density functional theory data (PBE) for an optimized crystal structure of DyHfCuRh. Values from VASP.

Output
Formation energy from the elements in kJ per mole of atoms: -45.4

Structure (Quantum ESPRESSO input):
```
&SYSTEM
  ibrav = 0, nat = 16, ntyp = 4
/
ATOMIC_SPECIES
Dy 162.50 Dy.upf
Hf 178.49 Hf.upf
Cu 63.55 Cu.upf
Rh 102.91 Rh.upf
ATOMIC_POSITIONS crystal
Dy 0.0000 0.0000 0.0000
Dy 0.0000 0.5000 0.5000
Dy 0.5000 0.0000 0.5000
Dy 0.5000 0.5000 0.0000
Hf 0.0000 0.0000 0.5000
Hf 0.0000 0.5000 0.0000
Hf 0.5000 0.0000 0.0000
Hf 0.5000 0.5000 0.5000
Cu 0.2500 0.2500 0.7500
Cu 0.2500 0.7500 0.2500
Cu 0.7500 0.2500 0.2500
Cu 0.7500 0.7500 0.7500
Rh 0.2500 0.2500 0.2500
Rh 0.2500 0.7500 0.7500
Rh 0.7500 0.2500 0.7500
Rh 0.7500 0.7500 0.2500
CELL_PARAMETERS angstrom
6.7057 0.0000 0.0000
0.0000 6.7057 0.0000
0.0000 0.0000 6.7057
```